# 1
Mn2ZnRu, optimized geometry, DFT GGA-PBE; ΔH_f (0 K) = 63 meV/atom; crystal system = tetragonal; space group = P4mm (99)
1.0
-1.108 1.589 -1.838
-2.322 -0.095 1.317
1.955 5.841 3.871
Mn Ru Zn
2 1 1
direct
0.000 0.000 0.014 Mn
0.500 0.500 0.252 Mn
0.000 0.000 0.481 Ru
0.500 0.500 0.753 Zn

***

# 2
MnZnRu2, optimized geometry, DFT GGA-PBE; ΔH_f (0 K) = 287 meV/atom; crystal system = orthorhombic; space group = Cmm2 (35)
1.0
-1.519 -2.027 0.838
2.634 -0.403 0.132
0.095 3.285 8.117
Zn Mn Ru
1 1 2
direct
0.000 0.000 0.504 Zn
0.500 0.500 0.754 Mn
0.500 0.500 0.250 Ru
0.000 0.000 0.991 Ru

***

# 3
Mn2ZnRu, optimized geometry, DFT GGA-PBE; ΔH_f (0 K) = 95 meV/atom; crystal system = orthorhombic; space group = Pmm2 (25)
1.0
-2.537 -0.573 0.882
0.243 -3.175 -1.363
2.056 -1.862 4.704
Mn Ru Zn
2 1 1
direct
0.500 0.500 0.256 Mn
0.000 0.000 0.008 Mn
0.000 0.000 0.479 Ru
0.500 0.500 0.757 Zn

***

# 4
Mn2ZnRu, optimized geometry, DFT GGA-PBE; ΔH_f (0 K) = 92 meV/atom; crystal system = tetragonal; space group = P4/mmm (123)
1.0
4.338 0.000 0.000
0.000 4.338 0.000
0.000 0.000 2.905
Ru Zn Mn
1 1 2
direct
0.500 0.000 0.500 Ru
0.000 0.500 0.500 Zn
0.000 0.000 0.000 Mn
0.500 0.500 0.000 Mn

***

# 5
MnZnRu2, optimized geometry, DFT GGA-PBE; ΔH_f (0 K) = 525 meV/atom; crystal system = tetragonal; space group = I-42d (122)
1.0
-2.863 6.127 0.906
-5.999 -2.494 -2.088
-5.008 1.191 1.817
Zn Ru Mn
2 4 2
direct
0.750 0.250 0.500 Zn
0.000 0.000 0.000 Zn
0.576 0.125 0.250 Ru
0.375 0.424 0.750 Ru
0.174 0.625 0.250 Ru
0.875 0.826 0.750 Ru
0.250 0.750 0.500 Mn
0.500 0.500 0.000 Mn

***

# 6
Mn2ZnRu, optimized geometry, DFT GGA-PBE; ΔH_f (0 K) = 169 meV/atom; crystal system = trigonal; space group = R-3m (166)
1.0
-0.480 -6.658 5.523
1.166 -7.709 3.779
2.089 -6.184 5.697
Ru Mn Zn
1 2 1
direct
0.250 0.250 0.250 Ru
0.998 0.998 0.998 Mn
0.502 0.502 0.502 Mn
0.750 0.750 0.750 Zn

***

# 7
MnZn2Ru2, optimized geometry, DFT GGA-PBE; ΔH_f (0 K) = 241 meV/atom; crystal system = tetragonal; space group = P4/mbm (127)
1.0
-2.506 5.197 3.458
-3.016 -4.271 4.232
2.719 0.013 1.951
Zn Ru Mn
4 4 2
direct
0.332 0.168 0.500 Zn
0.168 0.668 0.500 Zn
0.832 0.332 0.500 Zn
0.668 0.832 0.500 Zn
0.869 0.631 0.000 Ru
0.369 0.869 0.000 Ru
0.131 0.369 0.000 Ru
0.631 0.131 0.000 Ru
0.000 0.000 0.000 Mn
0.500 0.500 0.000 Mn

***

# 8
MnZnRu2, optimized geometry, DFT GGA-PBE; ΔH_f (0 K) = 177 meV/atom; crystal system = orthorhombic; space group = Cmmm (65)
1.0
-0.126 -2.644 0.413
2.499 0.937 -0.226
0.270 1.292 8.363
Mn Zn Ru
1 1 2
direct
0.500 0.500 0.750 Mn
0.500 0.500 0.250 Zn
0.000 0.000 0.990 Ru
0.000 0.000 0.510 Ru

***

# 9
MnZnRu2, optimized geometry, DFT GGA-PBE; ΔH_f (0 K) = 1 meV/atom; crystal system = tetragonal; space group = P4/mmm (123)
1.0
2.968 0.000 0.000
0.000 2.968 0.000
0.000 0.000 6.118
Ru Zn Mn
2 1 1
direct
0.000 0.000 0.990 Ru
0.000 0.000 0.510 Ru
0.500 0.500 0.250 Zn
0.500 0.500 0.750 Mn

***

# 10
Mn2ZnRu, optimized geometry, DFT GGA-PBE; ΔH_f (0 K) = 99 meV/atom; crystal system = orthorhombic; space group = Pmmm (47)
1.0
-2.297 -2.154 1.826
1.898 -0.355 1.969
0.015 3.824 4.529
Zn Mn Ru
1 2 1
direct
0.500 0.750 0.750 Zn
0.000 0.508 0.492 Mn
0.000 0.992 0.008 Mn
0.500 0.250 0.250 Ru

***

# 11
MnZnRu2, optimized geometry, DFT GGA-PBE; ΔH_f (0 K) = 72 meV/atom; crystal system = tetragonal; space group = P4/mmm (123)
1.0
-1.788 1.763 1.674
-2.670 0.407 -3.280
-2.142 -3.424 1.319
Ru Mn Zn
2 1 1
direct
0.000 0.500 0.500 Ru
0.000 0.000 0.000 Ru
0.500 0.000 0.500 Mn
0.500 0.500 0.000 Zn

***

# 12
MnZnRu2, optimized geometry, DFT GGA-PBE; ΔH_f (0 K) = 66 meV/atom; crystal system = monoclinic; space group = C2/m (12)
1.0
4.539 -0.001 0.002
3.719 2.602 0.002
0.899 0.283 4.611
Mn Zn Ru
1 1 2
direct
0.750 0.750 0.750 Mn
0.250 0.250 0.250 Zn
0.492 0.492 0.508 Ru
0.008 0.008 0.992 Ru

***

# 13
Mn4ZnRu, optimized geometry, DFT GGA-PBE; ΔH_f (0 K) = 150 meV/atom; crystal system = cubic; space group = F-43m (216)
1.0
0.000 3.297 3.297
3.297 0.000 3.297
3.297 3.297 0.000
Mn Ru Zn
4 1 1
direct
0.373 0.373 0.373 Mn
0.373 0.880 0.373 Mn
0.373 0.373 0.880 Mn
0.880 0.373 0.373 Mn
0.750 0.750 0.750 Ru
0.000 0.000 0.000 Zn

***

# 14
Mn2ZnRu, optimized geometry, DFT GGA-PBE; ΔH_f (0 K) = 127 meV/atom; crystal system = orthorhombic; space group = Imm2 (44)
1.0
4.952 -0.014 -0.023
2.290 4.391 0.023
-3.113 -3.029 2.378
Ru Zn Mn
1 1 2
direct
0.512 0.512 0.000 Ru
0.247 0.747 0.500 Zn
0.752 0.252 0.500 Mn
0.989 0.989 0.000 Mn

***

# 15
MnZnRu2, optimized geometry, DFT GGA-PBE; ΔH_f (0 K) = 50 meV/atom; crystal system = trigonal; space group = R-3m (166)
1.0
-0.360 -0.724 8.639
1.375 -2.702 8.130
2.251 -0.181 8.378
Ru Mn Zn
2 1 1
direct
0.495 0.495 0.495 Ru
0.005 0.005 0.005 Ru
0.750 0.750 0.750 Mn
0.250 0.250 0.250 Zn

***

# 16
Mn2ZnRu, optimized geometry, DFT GGA-PBE; ΔH_f (0 K) = 95 meV/atom; crystal system = orthorhombic; space group = Cmmm (65)
1.0
-2.916 -1.269 -3.216
0.789 -3.523 2.724
-2.072 0.759 1.581
Ru Zn Mn
1 1 2
direct
0.500 0.000 0.500 Ru
0.000 0.500 0.500 Zn
0.500 0.500 0.000 Mn
0.000 0.000 0.000 Mn

***

# 17
MnZnRu2, optimized geometry, DFT GGA-PBE; ΔH_f (0 K) = 54 meV/atom; crystal system = trigonal; space group = R3m (160)
1.0
-0.122 1.618 2.147
1.098 -0.772 2.332
7.699 3.867 -0.799
Ru Mn Zn
2 1 1
direct
0.079 0.079 0.763 Ru
0.255 0.255 0.237 Ru
0.666 0.666 0.001 Mn
0.500 0.500 0.500 Zn

***

# 18
MnZnRu2, optimized geometry, DFT GGA-PBE; ΔH_f (0 K) = 75 meV/atom; crystal system = tetragonal; space group = I-4m2 (119)
1.0
4.750 -0.095 0.000
1.943 4.336 0.000
-3.346 -2.121 2.623
Mn Zn Ru
1 1 2
direct
0.750 0.250 0.500 Mn
0.500 0.500 0.000 Zn
0.000 0.000 0.000 Ru
0.250 0.750 0.500 Ru

***

# 19
Mn2ZnRu, optimized geometry, DFT GGA-PBE; ΔH_f (0 K) = 88 meV/atom; crystal system = tetragonal; space group = P4/mmm (123)
1.0
2.701 0.000 0.000
0.000 2.701 0.000
0.000 0.000 7.144
Zn Ru Mn
1 1 2
direct
0.500 0.500 0.750 Zn
0.500 0.500 0.250 Ru
0.000 0.000 0.494 Mn
0.000 0.000 0.006 Mn

***

# 20
MnZnRu2, optimized geometry, DFT GGA-PBE; ΔH_f (0 K) = 69 meV/atom; crystal system = tetragonal; space group = P4mm (99)
1.0
2.746 0.000 0.000
0.000 2.746 0.000
0.000 0.000 7.441
Ru Mn Zn
2 1 1
direct
0.000 0.000 0.008 Ru
0.500 0.500 0.242 Ru
0.500 0.500 0.753 Mn
0.000 0.000 0.498 Zn